(1)
AgSbPb2 | GGA-PBE | optimized geometry

abc: 4.5068 4.5068 20.8609
angles: 90.00 90.00 120.00
Last column: nearest neighbours and their distance in Å.
Space group R3m (No. 160, hexagonal axes)
Symmetry-distinct sites (fractional):
Ag1 0.0000 0.0000 0.0000 x3  6 Pb 3.10, 1 Sb 3.41
Sb1 0.0000 0.0000 0.1634 x3  6 Pb 3.12-3.20, 1 Ag 3.41
Pb1 0.0000 0.0000 0.5859 x3  3 Ag 3.10, 3 Sb 3.20, 1 Pb 3.37
Pb2 0.0000 0.0000 0.7474 x3  3 Ag 3.10, 3 Sb 3.12, 1 Pb 3.37

Summary:
uncorrected formation energy = 0.1509 eV per atom
crystal system = trigonal

=====

(2)
AgSb2Pb | GGA-PBE | optimized geometry

abc: 11.6021 3.7538 5.4074
angles: 90.00 116.45 90.00
Last column: nearest neighbours and their distance in Å.
Space group C2/m (No. 12)
Symmetry-distinct sites (fractional):
Ag1 0.0000 0.0000 0.0000 x2  4 Sb 2.98, 4 Pb 3.29
Sb1 0.2224 0.5000 0.2155 x4  2 Ag 2.98, 2 Sb 3.27
Pb1 0.0000 0.5000 0.5000 x2  4 Ag 3.29, 8 Sb 3.44-3.57

Summary:
uncorrected formation energy = 0.1408 eV per atom
crystal system = monoclinic

=====

(3)
AgSbPb2 | GGA-PBE | optimized geometry

abc: 4.7243 4.7243 9.8334
angles: 90.00 90.00 90.00
Last column: nearest neighbours and their distance in Å.
Space group I4/mmm (No. 139)
Symmetry-distinct sites (fractional):
Ag1 0.0000 0.0000 0.0000 x2  4 Sb 3.34, 8 Pb 3.41
Sb1 0.0000 0.0000 0.5000 x2  4 Ag 3.34, 8 Pb 3.41
Pb1 0.0000 0.5000 0.2500 x4  4 Pb 3.34, 4 Ag 3.41, 4 Sb 3.41

Summary:
uncorrected formation energy = 0.1324 eV per atom
crystal system = tetragonal

=====

(4)
AgSb2Pb | GGA-PBE | optimized geometry

abc: 4.8831 4.8831 4.4837
angles: 90.00 90.00 90.00
Last column: nearest neighbours and their distance in Å.
Space group P4/mmm (No. 123)
Symmetry-distinct sites (fractional):
Ag1 0.0000 0.0000 0.0000 x1  8 Sb 3.31, 4 Pb 3.45
Sb1 0.0000 0.5000 0.5000 x2  4 Pb 3.31, 4 Ag 3.31, 4 Sb 3.45
Pb1 0.5000 0.5000 0.0000 x1  8 Sb 3.31, 4 Ag 3.45

Summary:
uncorrected formation energy = 0.1938 eV per atom
crystal system = tetragonal

=====

(5)
AgSb2Pb | GGA-PBE | optimized geometry

abc: 3.4218 3.4218 30.9399
angles: 90.00 90.00 120.00
Last column: nearest neighbours and their distance in Å.
Space group R3m (No. 160, hexagonal axes)
Symmetry-distinct sites (fractional):
Ag1 0.0000 0.0000 0.0000 x3  3 Sb 2.97, 3 Pb 3.15
Sb1 0.0000 0.0000 0.2615 x3  3 Ag 2.97
Sb2 0.0000 0.0000 0.5053 x3  9 Sb 3.40-3.42, 3 Pb 3.49
Pb1 0.0000 0.0000 0.7458 x3  3 Ag 3.15, 6 Pb 3.42, 3 Sb 3.49

Summary:
uncorrected formation energy = 0.1882 eV per atom
crystal system = trigonal

=====

(6)
AgSb2Pb | GGA-PBE | optimized geometry

abc: 3.9013 3.9013 7.1776
angles: 90.00 90.00 90.00
Last column: nearest neighbours and their distance in Å.
Space group P4mm (No. 99)
Symmetry-distinct sites (fractional):
Ag1 0.0000 0.0000 0.0000 x1  5 Sb 3.06-3.23, 4 Pb 3.16
Sb1 0.0000 0.0000 0.5738 x1  1 Ag 3.06, 4 Sb 3.08
Sb2 0.5000 0.5000 0.7647 x1  4 Sb 3.08, 4 Ag 3.23, 1 Pb 3.24
Pb1 0.5000 0.5000 0.2155 x1  4 Ag 3.16, 1 Sb 3.24

Summary:
uncorrected formation energy = 0.1417 eV per atom
crystal system = tetragonal

=====

(7)
AgSbPb2 | GGA-PBE | optimized geometry

abc: 12.0403 3.3022 5.9446
angles: 90.00 111.06 90.00
Last column: nearest neighbours and their distance in Å.
Space group Cm (No. 8)
Symmetry-distinct sites (fractional):
Ag1 0.0000 0.0000 0.0000 x2  2 Sb 2.95, 4 Pb 3.16-3.17
Sb1 0.3042 0.0000 0.6790 x2  2 Ag 2.95
Pb1 0.0322 0.5000 0.4753 x2  2 Ag 3.17, 2 Pb 3.30, 3 Sb 3.38-3.47
Pb2 0.2395 0.5000 0.1402 x2  3 Ag 3.16-3.52, 2 Pb 3.30, 4 Sb 3.43-3.52

Summary:
uncorrected formation energy = 0.0845 eV per atom
crystal system = monoclinic

=====

(8)
AgSb2Pb2 | GGA-PBE | optimized geometry

abc: 4.9179 4.9179 13.8571
angles: 90.00 90.00 90.00
Last column: nearest neighbours and their distance in Å.
Space group I4/mmm (No. 139)
Symmetry-distinct sites (fractional):
Ag1 0.0000 0.0000 0.0000 x2  8 Sb 3.77
Sb1 0.0000 0.0000 0.3944 x4  1 Sb 2.93, 4 Pb 3.17
Pb1 0.0000 0.5000 0.2500 x4  4 Sb 3.17, 4 Pb 3.48

Summary:
uncorrected formation energy = 0.3487 eV per atom
crystal system = tetragonal
energy above the most stable polymorph in this dataset = 298.7 meV/atom

=====

(9)
AgSbPb2Se4 | GGA-PBE | optimized geometry

abc: 7.2932 4.2631 7.3140
angles: 90.00 109.13 90.00
Last column: nearest neighbours and their distance in Å.
Space group P2/m (No. 10)
Symmetry-distinct sites (fractional):
Ag1 0.0000 0.0000 0.0000 x1  6 Se 2.86-2.92
Sb1 0.0000 0.5000 0.5000 x1  6 Se 2.89-2.93
Pb1 0.5000 0.0000 0.5000 x1  6 Se 3.09-3.10
Pb2 0.5000 0.5000 0.0000 x1  6 Se 3.06-3.09
Se1 0.2269 0.0000 0.7469 x2  1 Ag 2.86, 2 Sb 2.93, 3 Pb 3.09-3.10
Se2 0.2283 0.5000 0.2429 x2  1 Sb 2.89, 2 Ag 2.92, 3 Pb 3.06-3.09

Summary:
uncorrected formation energy = -0.3398 eV per atom
crystal system = monoclinic

=====

(10)
AgSb2PbSe4 | GGA-PBE | optimized geometry

abc: 8.7424 11.6291 8.4240
angles: 90.00 90.00 90.00
Last column: nearest neighbours and their distance in Å.
Space group Fmm2 (No. 42)
Symmetry-distinct sites (fractional):
Ag1 0.0000 0.0000 0.0000 x4  4 Se 2.73-2.82
Sb1 0.2500 0.2500 0.2914 x8  4 Se 2.82-2.91
Pb1 0.0000 0.0000 0.5471 x4  6 Se 2.98-3.09
Se1 0.0000 0.2351 0.0807 x8  1 Ag 2.82, 2 Sb 2.82, 1 Pb 3.09
Se2 0.2495 0.0000 0.3062 x8  1 Ag 2.73, 2 Sb 2.91, 1 Pb 2.98

Summary:
uncorrected formation energy = -0.2203 eV per atom
crystal system = orthorhombic

=====

(11)
AgSbPbSe3 | GGA-PBE | optimized geometry

abc: 8.6775 4.1267 9.3377
angles: 90.00 100.78 90.00
Last column: nearest neighbours and their distance in Å.
Space group P2_1/m (No. 11)
Symmetry-distinct sites (fractional):
Ag1 0.0767 0.2500 0.0950 x2  4 Se 2.68-2.84, 2 Ag 2.88
Sb1 0.3248 0.7500 0.3642 x2  5 Se 2.70-3.02
Pb1 0.1951 0.2500 0.7659 x2  4 Se 3.01-3.18
Se1 0.1092 0.2500 0.3864 x2  1 Ag 2.68, 2 Sb 2.82
Se2 0.2527 0.7500 0.0048 x2  3 Ag 2.79-2.84, 2 Pb 3.01
Se3 0.4266 0.7500 0.6560 x2  3 Sb 2.70-3.02

Summary:
uncorrected formation energy = -0.2842 eV per atom
crystal system = monoclinic

=====

(12)
Ag7SnSb2Pb2 | GGA-PBE | optimized geometry

abc: 6.0641 5.9457 15.5627
angles: 90.00 97.93 90.00
Last column: nearest neighbours and their distance in Å.
Space group C2/m (No. 12)
Symmetry-distinct sites (fractional):
Ag1 0.0000 0.0000 0.0000 x2  4 Sn 2.97-3.03, 8 Ag 3.02
Ag2 0.1978 0.0000 0.4580 x4  1 Ag 2.89, 1 Pb 2.91, 1 Sb 2.92
Ag3 0.1999 0.2502 0.8608 x8  2 Sb 2.91-2.92, 6 Ag 2.97-3.03, 2 Sn 3.02
Sn1 0.0000 0.5000 0.0000 x2  12 Ag 2.97-3.03
Sb1 0.0986 0.0000 0.2689 x4  5 Ag 2.91-2.92
Pb1 0.1364 0.5000 0.3571 x4  1 Ag 2.91

Summary:
uncorrected formation energy = 0.0827 eV per atom
crystal system = monoclinic

=====

(13)
Sr3Ag2Sb4Pb2 | GGA-PBE | optimized geometry

abc: 4.7504 4.7504 18.5999
angles: 90.00 90.00 120.00
Last column: nearest neighbours and their distance in Å.
Space group P-3m1 (No. 164)
Symmetry-distinct sites (fractional):
Sr1 0.0000 0.0000 0.0000 x1  6 Sb 3.50, 6 Ag 3.57
Sr2 0.0000 0.0000 0.2369 x2  6 Sb 3.38-3.54, 3 Ag 3.47
Ag1 0.3333 0.6667 0.1228 x2  3 Sb 2.75
Sb1 0.3333 0.6667 0.3432 x2  3 Pb 3.12, 3 Sr 3.38
Sb2 0.3333 0.6667 0.8834 x2  3 Ag 2.75
Pb1 0.3333 0.6667 0.5770 x2  3 Sb 3.12

Summary:
uncorrected formation energy = -0.5972 eV per atom
crystal system = trigonal

=====

(14)
AgSbTe4Pb2 | GGA-PBE | optimized geometry

abc: 7.7079 4.5073 7.7579
angles: 90.00 109.31 90.00
Last column: nearest neighbours and their distance in Å.
Space group P2/m (No. 10)
Symmetry-distinct sites (fractional):
Ag1 0.0000 0.0000 0.0000 x1  6 Te 3.02-3.07
Sb1 0.5000 0.5000 0.0000 x1  6 Te 3.09-3.11
Te1 0.2389 0.5000 0.2282 x2  2 Ag 3.07, 1 Sb 3.09, 3 Pb 3.23-3.28
Te2 0.2501 0.0000 0.7713 x2  1 Ag 3.02, 2 Sb 3.11, 3 Pb 3.25-3.29
Pb1 0.0000 0.5000 0.5000 x1  6 Te 3.23-3.25
Pb2 0.5000 0.0000 0.5000 x1  6 Te 3.28-3.29

Summary:
uncorrected formation energy = -0.2056 eV per atom
crystal system = monoclinic

=====

(15)
AgSb2Te4Pb | GGA-PBE | optimized geometry

abc: 7.6971 4.4461 7.7229
angles: 90.00 109.34 90.00
Last column: nearest neighbours and their distance in Å.
Space group P2/m (No. 10)
Symmetry-distinct sites (fractional):
Ag1 0.0000 0.0000 0.0000 x1  6 Te 3.10-3.12
Sb1 0.5000 0.0000 0.5000 x1  6 Te 3.18-3.19
Sb2 0.5000 0.5000 0.0000 x1  6 Te 3.09
Te1 0.2492 0.5000 0.2407 x2  3 Sb 3.09-3.18, 2 Ag 3.12, 1 Pb 3.20
Te2 0.2556 0.0000 0.7623 x2  3 Sb 3.09-3.19, 1 Ag 3.10, 2 Pb 3.21
Pb1 0.0000 0.5000 0.5000 x1  6 Te 3.20-3.21

Summary:
uncorrected formation energy = -0.0958 eV per atom
crystal system = monoclinic

=====

(16)
AgSb2TePb | GGA-PBE | optimized geometry

abc: 5.3446 5.3446 5.6338
angles: 90.00 90.00 90.00
Last column: nearest neighbours and their distance in Å.
Space group P4/mmm (No. 123)
Symmetry-distinct sites (fractional):
Ag1 0.0000 0.0000 0.0000 x1  4 Sb 2.67, 2 Te 2.82
Sb1 0.0000 0.5000 0.0000 x2  2 Ag 2.67
Te1 0.0000 0.0000 0.5000 x1  2 Ag 2.82
Pb1 0.5000 0.5000 0.5000 x1  4 Te 3.78, 8 Sb 3.88

Summary:
uncorrected formation energy = 0.4506 eV per atom
crystal system = tetragonal
energy above the most stable polymorph in this dataset = 0.0 meV/atom

=====

(17)
Tl2AgSbPb | GGA-PBE | optimized geometry

abc: 6.0300 6.0300 5.9185
angles: 90.00 90.00 90.00
Last column: nearest neighbours and their distance in Å.
Space group P4/mmm (No. 123)
Symmetry-distinct sites (fractional):
Tl1 0.0000 0.5000 0.0000 x2  2 Sb 3.02
Ag1 0.0000 0.0000 0.5000 x1  8 Tl 4.22, 4 Pb 4.26
Sb1 0.5000 0.5000 0.0000 x1  2 Pb 2.96, 4 Tl 3.02
Pb1 0.5000 0.5000 0.5000 x1  2 Sb 2.96

Summary:
uncorrected formation energy = 0.5953 eV per atom
crystal system = tetragonal

=====

(18)
ScAgPb | GGA-PBE | optimized geometry

abc: 3.4716 3.4716 6.9796
angles: 90.00 90.00 120.00
Last column: nearest neighbours and their distance in Å.
Space group P3m1 (No. 156)
Symmetry-distinct sites (fractional):
Sc1 0.0000 0.0000 0.0000 x1  3 Ag 2.87, 3 Pb 3.20
Ag1 0.6667 0.3333 0.2952 x1  3 Sc 2.87, 3 Pb 3.14
Pb1 0.3333 0.6667 0.6418 x1  3 Ag 3.14, 3 Sc 3.20, 6 Pb 3.47

Summary:
crystal system = trigonal
ΔE_f = -36 meV/atom

=====

(19)
Sc8Ag2Pb | GGA-PBE | optimized geometry

abc: 15.4938 4.7547 7.6826
angles: 90.00 117.08 90.00
Last column: nearest neighbours and their distance in Å.
Space group C2/m (No. 12)
Symmetry-distinct sites (fractional):
Sc1 0.0584 0.0000 0.2289 x4  1 Ag 2.79, 2 Sc 3.09
Sc2 0.0985 0.5000 0.9662 x4  2 Ag 2.86, 1 Pb 3.19
Sc3 0.1565 0.0000 0.7163 x4  3 Ag 2.86-3.03
Sc4 0.1870 0.5000 0.4579 x4  1 Ag 2.86, 4 Sc 2.95-3.09, 1 Pb 3.06
Ag1 0.2090 0.0000 0.1248 x4  7 Sc 2.79-3.03
Pb1 0.0000 0.5000 0.5000 x2  8 Sc 3.06-3.26

Summary:
crystal system = monoclinic
ΔE_f = -179 meV/atom
energy above the most stable polymorph in this dataset = 0.0 meV/atom

=====

(20)
ScAgPb | GGA-PBE | optimized geometry

abc: 4.3105 4.3418 7.4965
angles: 90.00 106.58 90.00
Last column: nearest neighbours and their distance in Å.
Space group P2/m (No. 10)
Symmetry-distinct sites (fractional):
Sc1 0.1579 0.0000 0.3158 x2  6 Pb 3.06-3.40, 4 Ag 3.13-3.14, 2 Sc 3.41-3.42
Ag1 0.0000 0.5000 0.0000 x1  4 Ag 3.06, 4 Sc 3.14, 4 Pb 3.15-3.16
Ag2 0.5000 0.0000 0.0000 x1  4 Ag 3.06, 4 Sc 3.13, 4 Pb 3.16
Pb1 0.3398 0.5000 0.6798 x2  6 Sc 3.06-3.40, 4 Ag 3.15-3.16, 2 Pb 3.36-3.37

Summary:
crystal system = monoclinic
ΔE_f = -225 meV/atom